1.
The following is a DFT calculation (GGA-PBE) of a relaxed structure of Pr2HoEr6.

Values from the calculation:
formation energy	0.11	eV per atom
crystal system	monoclinic
offset from the most stable computed form	0.80	eV per formula unit
space group	C2/c, No. 15

a = 9.5616 Å, b = 9.5616 Å, c = 6.5540 Å
α = 99.11°, β = 99.11°, γ = 96.03°
Atoms (fractional coordinates):
Pr: 0.1175 0.1705 0.3753
Pr: 0.1705 0.1175 0.8753
Pr: 0.8295 0.8825 0.1247
Pr: 0.8825 0.8295 0.6247
Ho: 0.3831 0.6169 0.7500
Ho: 0.6169 0.3831 0.2500
Er: 0.0390 0.4425 0.7322
Er: 0.1544 0.7754 0.9971
Er: 0.2246 0.8456 0.5029
Er: 0.2784 0.4593 0.1856
Er: 0.4425 0.0390 0.2322
Er: 0.4593 0.2784 0.6856
Er: 0.5407 0.7216 0.3144
Er: 0.5575 0.9610 0.7678
Er: 0.7216 0.5407 0.8144
Er: 0.7754 0.1544 0.4971
Er: 0.8456 0.2246 0.0029
Er: 0.9610 0.5575 0.2678


2.
The following is a DFT calculation (GGA-PBE) of a relaxed structure of Ce6P2OsCl3.

Values from the calculation:
formation energy (no corrections)	-1.294	eV/atom
crystal system	monoclinic
space group	C2/m, No. 12

a = 9.1529 Å, b = 9.1529 Å, c = 8.3508 Å
α = 102.67°, β = 102.67°, γ = 25.57°
Atoms (fractional coordinates):
Ce: 0.0026 0.0026 0.2325
Ce: 0.3289 0.3289 0.4244
Ce: 0.3416 0.3416 0.9055
Ce: 0.6584 0.6584 0.0945
Ce: 0.6711 0.6711 0.5756
Ce: 0.9974 0.9974 0.7675
P: 0.1658 0.1658 0.3366
P: 0.8342 0.8342 0.6634
Os: 0.5000 0.5000 0.0000
Cl: 0.1700 0.1700 0.8355
Cl: 0.5000 0.5000 0.5000
Cl: 0.8300 0.8300 0.1645


3.
The following is a DFT calculation (GGA-PBE) of a relaxed structure of TaNb4Mo4.

Values from the calculation:
formation energy	0.71	eV per atom
crystal system	tetragonal
space group	P4_2/nmc, No. 137

a = 6.2035 Å, b = 6.2035 Å, c = 8.9611 Å
α = 90.00°, β = 90.00°, γ = 90.00°
Atoms (fractional coordinates):
Ta: 0.2500 0.7500 0.2500
Ta: 0.7500 0.2500 0.7500
Nb: 0.0270 0.2500 0.1694
Nb: 0.2500 0.0270 0.6694
Nb: 0.2500 0.4730 0.6694
Nb: 0.4730 0.2500 0.1694
Nb: 0.5270 0.7500 0.8306
Nb: 0.7500 0.5270 0.3306
Nb: 0.7500 0.9730 0.3306
Nb: 0.9730 0.7500 0.8306
Mo: 0.0081 0.7500 0.5159
Mo: 0.2500 0.5081 0.9841
Mo: 0.2500 0.9919 0.9841
Mo: 0.4919 0.7500 0.5159
Mo: 0.5081 0.2500 0.4841
Mo: 0.7500 0.0081 0.0159
Mo: 0.7500 0.4919 0.0159
Mo: 0.9919 0.2500 0.4841


4.
The following is a DFT calculation (GGA-PBE) of a relaxed structure of LaPm5Dy5.

Values from the calculation:
formation energy	0.29	eV per atom
crystal system	hexagonal
space group	P-6m2, No. 187

a = 6.1600 Å, b = 6.1600 Å, c = 11.7541 Å
α = 90.00°, β = 90.00°, γ = 120.00°
Atoms (fractional coordinates):
La: 0.0000 0.0000 0.0000
Pm: 0.0000 0.0000 0.3254
Pm: 0.0000 0.0000 0.6746
Pm: 0.3333 0.6667 0.1580
Pm: 0.3333 0.6667 0.8420
Pm: 0.6667 0.3333 0.0000
Dy: 0.0002 0.5001 0.5000
Dy: 0.4999 0.9998 0.5000
Dy: 0.4999 0.5001 0.5000
Dy: 0.6667 0.3333 0.2659
Dy: 0.6667 0.3333 0.7341


5.
The following is a DFT calculation (GGA-PBE) of a relaxed structure of SrHg2Ir.

Values from the calculation:
formation energy	0.14	eV per atom
crystal system	cubic
space group	F-43m, No. 216

a = 7.1929 Å, b = 7.1929 Å, c = 7.1929 Å
α = 90.00°, β = 90.00°, γ = 90.00°
Atoms (fractional coordinates):
Sr: 0.0000 0.0000 0.0000
Sr: 0.0000 0.5000 0.5000
Sr: 0.5000 0.0000 0.5000
Sr: 0.5000 0.5000 0.0000
Hg: 0.0000 0.0000 0.5000
Hg: 0.0000 0.5000 0.0000
Hg: 0.2500 0.2500 0.2500
Hg: 0.2500 0.7500 0.7500
Hg: 0.5000 0.0000 0.0000
Hg: 0.5000 0.5000 0.5000
Hg: 0.7500 0.2500 0.7500
Hg: 0.7500 0.7500 0.2500
Ir: 0.2500 0.2500 0.7500
Ir: 0.2500 0.7500 0.2500
Ir: 0.7500 0.2500 0.2500
Ir: 0.7500 0.7500 0.7500


6.
The following is a DFT calculation (GGA-PBE) of a relaxed structure of MnZn2Co.

Values from the calculation:
formation energy	0.41	eV per atom
crystal system	orthorhombic
offset from the most stable computed form	1.83	eV per formula unit
space group	Immm, No. 71

a = 2.6100 Å, b = 4.2935 Å, c = 10.3039 Å
α = 90.00°, β = 90.00°, γ = 90.00°
Atoms (fractional coordinates):
Mn: 0.0000 0.0000 0.0000
Mn: 0.5000 0.5000 0.5000
Zn: 0.0000 0.0000 0.2677
Zn: 0.0000 0.0000 0.7323
Zn: 0.5000 0.5000 0.2323
Zn: 0.5000 0.5000 0.7677
Co: 0.0000 0.0000 0.5000
Co: 0.5000 0.5000 0.0000


| no. | electronic total energy (eV/atom) | total magnetic moment (μB per cell) |
| --- | --- | --- |
| 1 | -4.50 | 0.0 |
| 2 | -6.56 | 5.0 |
| 3 | -9.90 | 0.0 |
| 4 | -4.41 | 0.0 |
| 5 | -2.65 | 0.0 |
| 6 | -4.29 | 9.2 |